Y2PuScSe4, optimized geometry, DFT PBE-GGA; energy relative to the elements, uncorrected = -1.67 eV per atom; theoretical density = 6.9 g/cm3
1.0
-1.346 -2.027 3.219
6.309 -2.995 0.752
-0.171 5.972 3.690
Y Pu Sc Se
2 1 1 4
direct
0.500 0.000 0.500
0.000 0.500 0.500
0.500 0.500 0.000
0.000 0.000 0.000
0.500 0.239 0.241
0.500 0.761 0.759
0.000 0.242 0.753
0.000 0.758 0.247